No. 1
# CsAgRu2O8

An optimized crystal structure of CsAgRu2O8 (GGA-PBE, Alexandria).

Properties
space group: No. 148
formation energy (no corrections): -0.832 eV/atom

Cell: 9.2435 9.2435 9.2435 Å, 35.14 35.14 35.14°
Closest atoms and distances in Å follow each position.
Fractional positions:
Cs 0.0000 0.0000 0.0000  12 O 3.29-3.60
Ag 0.5000 0.5000 0.5000  6 O 2.34
Ru 0.2401 0.2401 0.2401  4 O 1.76
Ru 0.7599 0.7599 0.7599  4 O 1.76
O 0.0865 0.4879 0.7708  1 Ru 1.76
O 0.2292 0.9135 0.5121  1 Ru 1.76
O 0.3077 0.3077 0.3077  1 Ru 1.76
O 0.4879 0.7708 0.0865  1 Ru 1.76
O 0.5121 0.2292 0.9135  1 Ru 1.76
O 0.6923 0.6923 0.6923  1 Ru 1.76
O 0.7707 0.0865 0.4879  1 Ru 1.76
O 0.9135 0.5121 0.2292  1 Ru 1.76

No. 2
# MnReS2

An optimized crystal structure of MnReS2 (GGA-PBE, Alexandria).

Properties
energy above the most stable polymorph in this dataset: 22.5 kJ/mol of atoms
space group: No. 225
formation energy (no corrections): 0.209 eV/atom

Cell: 4.1406 4.1406 4.1406 Å, 60.00 60.00 60.00°
Closest atoms and distances in Å follow each position.
Fractional positions:
Mn 0.0000 0.0000 0.0000  8 S 2.54
Re 0.5000 0.5000 0.5000  8 S 2.54
S 0.2500 0.2500 0.2500  4 Mn 2.54, 4 Re 2.54
S 0.7500 0.7500 0.7500  4 Mn 2.54, 4 Re 2.54

No. 3
# CrIn2Au

An optimized crystal structure of CrIn2Au (GGA-PBE, Alexandria).

Properties
energy above the most stable polymorph in this dataset: 17.1 kJ/mol of atoms
space group: No. 122
E_form: 293 meV per atom

Cell: 6.2661 6.2661 6.2661 Å, 102.41 102.41 124.77°
Closest atoms and distances in Å follow each position.
Fractional positions:
Cr 0.0000 0.0000 0.0000  2 Au 2.90, 4 In 2.94
Cr 0.7500 0.2500 0.5000  2 Au 2.90, 4 In 2.94
In 0.1373 0.6250 0.0123  2 Au 2.80, 2 In 2.91, 2 Cr 2.94
In 0.3750 0.3873 0.5123  2 Au 2.80, 2 In 2.91, 2 Cr 2.94
In 0.6127 0.1250 0.9877  2 Au 2.80, 2 In 2.91, 2 Cr 2.94
In 0.8750 0.8627 0.4877  2 Au 2.80, 2 In 2.91, 2 Cr 2.94
Au 0.2500 0.7500 0.5000  4 In 2.80, 2 Cr 2.90
Au 0.5000 0.5000 0.0000  4 In 2.80, 2 Cr 2.90